Density functional theory data (PBE) for an optimized crystal structure of K2CaZr2O7.

For the uncorrected formation energy, the calculation gives -2.420 eV/atom.

Lattice parameters (Å, degrees): 4.1200 4.1200 11.6844 100.21 100.21 90.00
With the nearest neighbours (Å) after each atom.
Sites, in units of the cell vectors:
O 0.5000 0.5000 0.0000  2 Zr 2.20
O 0.4229 0.9226 0.8436  2 Zr 2.10
O 0.9226 0.4229 0.8436  2 Zr 2.10
O 0.0774 0.5771 0.1564  2 Zr 2.10
O 0.6847 0.6847 0.3696  1 Zr 1.98
O 0.5771 0.0774 0.1564  2 Zr 2.10
O 0.3153 0.3153 0.6304  1 Zr 1.98
Ca 0.0000 0.0000 0.0000  12 O 2.71-2.91
K 0.1953 0.1953 0.3908  5 O 2.71-2.92
K 0.8047 0.8047 0.6092  5 O 2.71-2.92
Zr 0.5967 0.5967 0.1945  6 O 1.98-2.20
Zr 0.4033 0.4033 0.8055  6 O 1.98-2.20


Density functional theory data (PBE) for an optimized crystal structure of KCaOs.

The energy relative to the lowest polymorph listed for this composition comes out at 0.000 eV/f.u. The formation energy comes out at 0.9262 eV/atom.

Lattice parameters (Å, degrees): 6.7826 6.7826 6.7826 155.87 140.33 46.97
With the nearest neighbours (Å) after each atom.
Sites, in units of the cell vectors:
K 0.3179 0.3179 0.0000  2 K 2.83
Ca 0.0439 0.0439 0.0000  2 Ca 2.83, 4 Os 2.95
Os 0.6382 0.6382 0.0000  2 Os 2.83, 4 Ca 2.95


Density functional theory data (PBE) for an optimized crystal structure of KCa4Os.

The formation energy comes out at 1.0572 eV/atom.

Lattice parameters (Å, degrees): 6.6177 6.6177 6.6177 60.00 60.00 60.00
With the nearest neighbours (Å) after each atom.
Sites, in units of the cell vectors:
Ca 0.3731 0.8808 0.3731  6 Ca 3.26-3.36
Ca 0.3731 0.3731 0.8808  6 Ca 3.26-3.36
Ca 0.3731 0.3731 0.3731  6 Ca 3.26-3.36
Ca 0.8808 0.3731 0.3731  6 Ca 3.26-3.36
K 0.7500 0.7500 0.7500  12 Ca 3.89, 4 Os 4.05
Os 0.0000 0.0000 0.0000  12 Ca 3.87, 4 K 4.05


Density functional theory data (PBE) for an optimized crystal structure of KCaOs.

The energy relative to the lowest polymorph listed for this composition comes out at 0.175 eV/f.u. The formation energy comes out at 0.9845 eV/atom.

Lattice parameters (Å, degrees): 5.3428 5.3428 2.7555 90.00 90.00 120.00
With the nearest neighbours (Å) after each atom.
Sites, in units of the cell vectors:
Os 0.3333 0.6667 0.6661  2 Os 2.76
Ca 0.0000 0.0000 0.1663  2 Ca 2.76, 3 K 3.08
K 0.6667 0.3333 0.1677  2 K 2.76, 3 Ca 3.08


Density functional theory data (PBE) for an optimized crystal structure of KCaOs.

The energy relative to the lowest polymorph listed for this composition comes out at 0.424 eV/f.u. The formation energy comes out at 1.0677 eV/atom.

Lattice parameters (Å, degrees): 3.2122 3.2122 8.7254 90.00 90.00 120.00
With the nearest neighbours (Å) after each atom.
Sites, in units of the cell vectors:
Os 0.3333 0.6667 0.6857  3 Ca 2.85
K 0.6667 0.3333 0.3812  6 K 3.21, 3 Os 3.24
Ca 0.0000 0.0000 0.9331  3 Os 2.85


Density functional theory data (PBE) for an optimized crystal structure of KCaOs.

The energy relative to the lowest polymorph listed for this composition comes out at 1.425 eV/f.u. The formation energy comes out at 1.4011 eV/atom.

Lattice parameters (Å, degrees): 5.1198 5.1198 5.1198 60.00 60.00 60.00
With the nearest neighbours (Å) after each atom.
Sites, in units of the cell vectors:
Os 0.7500 0.7500 0.7500  4 Ca 3.14, 4 K 3.14
Ca 0.0000 0.0000 0.0000  4 Os 3.14
K 0.5000 0.5000 0.5000  4 Os 3.14


Density functional theory data (PBE) for an optimized crystal structure of KCaOs.

The energy relative to the lowest polymorph listed for this composition comes out at 0.074 eV/f.u. The formation energy comes out at 0.9507 eV/atom.

Lattice parameters (Å, degrees): 8.7254 8.7256 3.1542 79.58 79.59 20.83
With the nearest neighbours (Å) after each atom.
Sites, in units of the cell vectors:
K 0.3026 0.3026 0.6974  4 K 3.15, 4 Os 3.35
Os 0.6546 0.6546 0.3454  4 Ca 2.92, 4 Os 3.15
Ca 0.0429 0.0429 0.9571  4 Os 2.92, 4 Ca 3.15


Density functional theory data (PBE) for an optimized crystal structure of KCaOs3.

The energy relative to the lowest polymorph listed for this composition comes out at 0.000 eV/f.u. The formation energy comes out at 3.0097 eV/atom.

Lattice parameters (Å, degrees): 4.9821 4.9821 4.9821 90.00 90.00 90.00
With the nearest neighbours (Å) after each atom.
Sites, in units of the cell vectors:
Os 0.5000 0.0000 0.0000  2 Ca 2.49
Os 0.0000 0.0000 0.5000  2 Ca 2.49
Os 0.0000 0.5000 0.0000  2 Ca 2.49
Ca 0.0000 0.0000 0.0000  6 Os 2.49
K 0.5000 0.5000 0.5000  12 Os 3.52


Density functional theory data (PBE) for an optimized crystal structure of KCaOs4.

The formation energy comes out at 0.7330 eV/atom.

Lattice parameters (Å, degrees): 5.4014 5.4014 5.4014 60.00 60.00 60.00
With the nearest neighbours (Å) after each atom.
Sites, in units of the cell vectors:
Os 0.3752 0.3752 0.3752  6 Os 2.70
Os 0.8744 0.3752 0.3752  6 Os 2.70
Os 0.3752 0.3752 0.8744  6 Os 2.70
Os 0.3752 0.8744 0.3752  6 Os 2.70
Ca 0.7500 0.7500 0.7500  12 Os 3.17, 4 K 3.31
K 0.0000 0.0000 0.0000  12 Os 3.17, 4 Ca 3.31


Density functional theory data (PBE) for an optimized crystal structure of KCaOs.

The energy relative to the lowest polymorph listed for this composition comes out at 2.716 eV/f.u. The formation energy comes out at 1.8316 eV/atom.

Lattice parameters (Å, degrees): 4.9931 4.9931 4.9931 60.00 60.00 60.00
With the nearest neighbours (Å) after each atom.
Sites, in units of the cell vectors:
Os 0.0000 0.0000 0.0000  4 K 3.06
Ca 0.5000 0.5000 0.5000  4 K 3.06
K 0.7500 0.7500 0.7500  4 Ca 3.06, 4 Os 3.06


Density functional theory data (PBE) for an optimized crystal structure of KCaOs3.

The energy relative to the lowest polymorph listed for this composition comes out at 0.914 eV/f.u. The formation energy comes out at 3.1924 eV/atom.

Lattice parameters (Å, degrees): 4.7229 4.7229 4.7229 90.00 90.00 90.00
With the nearest neighbours (Å) after each atom.
Sites, in units of the cell vectors:
Os 0.0000 0.0000 0.5000  2 K 2.36
Os 0.5000 0.0000 0.0000  2 K 2.36
Os 0.0000 0.5000 0.0000  2 K 2.36
K 0.0000 0.0000 0.0000  6 Os 2.36
Ca 0.5000 0.5000 0.5000  12 Os 3.34


Density functional theory data (PBE) for an optimized crystal structure of KCa2OsRu.

The formation energy comes out at 2.1282 eV/atom.

Lattice parameters (Å, degrees): 5.2082 4.5487 5.2082 90.00 90.00 90.00
With the nearest neighbours (Å) after each atom.
Sites, in units of the cell vectors:
Ru 0.5000 0.5000 0.5000  8 Ca 3.46, 4 Os 3.68
Ca 0.0000 0.0000 0.5000  2 K 2.60
Ca 0.5000 0.0000 0.0000  2 K 2.60
K 0.0000 0.0000 0.0000  2 Os 2.27
Os 0.0000 0.5000 0.0000  2 K 2.27


Number 1: electronic total energy -0.521 Ry/atom. Number 2: electronic total energy -0.283 Ry/atom. Number 3: electronic total energy -0.171 Ry/atom. Number 4: electronic total energy -0.279 Ry/atom. Number 5: electronic total energy -0.273 Ry/atom. Number 6: electronic total energy -0.248 Ry/atom. Number 7: electronic total energy -0.281 Ry/atom. Number 8: electronic total energy -0.320 Ry/atom. Number 9: electronic total energy -0.534 Ry/atom. Number 10: electronic total energy -0.216 Ry/atom. Number 11: electronic total energy -0.306 Ry/atom. Number 12: electronic total energy -0.220 Ry/atom.